Material: AcY3Au2
Method: DFT, PBE-GGA
State: optimized geometry

Properties
E_tot (eV per atom): -5.595

abc: 5.0397 7.4522 9.1560
angles: 90.00 90.00 90.00
With the nearest neighbours (Å) after each atom.
Element x y z (fractional)
Ac  0.5000  0.5134  0.5784  3 Au 3.14-3.30
Ac  0.5000  0.0134  0.4216  3 Au 3.14-3.30
Y  0.0000  0.4830  0.9294  3 Au 3.02-3.31
Y  0.0000  0.9830  0.0706  3 Au 3.02-3.31
Y  0.5000  0.6456  0.1623  4 Au 2.90-3.09
Y  0.5000  0.1456  0.8377  4 Au 2.90-3.09
Y  0.0000  0.3545  0.3201  4 Au 2.93-3.22
Y  0.0000  0.8545  0.6799  4 Au 2.93-3.22
Au  0.5000  0.7566  0.8582  4 Y 2.90-3.09, 1 Ac 3.14
Au  0.5000  0.2566  0.1418  4 Y 2.90-3.09, 1 Ac 3.14
Au  0.0000  0.2468  0.6607  5 Y 2.93-3.22
Au  0.0000  0.7468  0.3392  5 Y 2.93-3.22

---

Material: RbNdZnF6
Method: DFT, PBE-GGA
State: optimized geometry

Properties
ΔE_f (raw) (eV/f.u.): -28.6

abc: 7.8636 7.4720 7.5141
angles: 119.81 121.55 90.00
With the nearest neighbours (Å) after each atom.
Element x y z (fractional)
Rb  0.8364  0.5864  0.6729  9 F 3.00-3.10
Rb  0.1636  0.4136  0.3271  9 F 3.00-3.10
Nd  0.5000  0.0000  0.5000  8 F 2.32-2.55
Nd  0.0000  0.0000  0.5000  8 F 2.32-2.55
Zn  0.5000  0.5000  0.0000  6 F 2.04-2.11
Zn  0.5000  0.0000  0.0000  6 F 2.04-2.11
F  0.5941  0.8441  0.1882  2 Zn 2.11
F  0.8693  0.1193  0.7385  2 Nd 2.32
F  0.8231  0.1539  0.2676  1 Zn 2.04
F  0.4445  0.6137  0.2676  1 Zn 2.04
F  0.4445  0.1539  0.2676  1 Zn 2.04
F  0.8231  0.6137  0.2676  1 Zn 2.04
F  0.4059  0.1559  0.8118  2 Zn 2.11
F  0.1307  0.8807  0.2615  2 Nd 2.32
F  0.1769  0.8461  0.7324  1 Zn 2.04
F  0.5555  0.3863  0.7324  1 Zn 2.04
F  0.5555  0.8461  0.7324  1 Zn 2.04
F  0.1769  0.3863  0.7324  1 Zn 2.04

---

Material: Cd4Ru5
Method: DFT, PBE-GGA
State: optimized geometry

Properties
E_tot (eV per atom): -5.163

abc: 6.3798 6.3798 6.3798
angles: 96.25 96.25 141.46
With the nearest neighbours (Å) after each atom.
Element x y z (fractional)
Cd  0.0000  0.3222  0.3222  7 Ru 2.74-3.01, 5 Cd 3.00-3.03
Cd  0.0000  0.6778  0.6778  7 Ru 2.74-3.01, 5 Cd 3.00-3.03
Cd  0.3222  0.0000  0.3222  7 Ru 2.74-3.01, 5 Cd 3.00-3.03
Cd  0.6778  0.0000  0.6778  7 Ru 2.74-3.01, 5 Cd 3.00-3.03
Ru  0.0000  0.0000  0.0000  4 Cd 2.74, 8 Ru 2.76
Ru  0.3522  0.3522  0.7043  4 Ru 2.52-2.76
Ru  0.3522  0.6478  0.0000  4 Ru 2.52-2.76
Ru  0.6478  0.3522  0.0000  4 Ru 2.52-2.76
Ru  0.6478  0.6478  0.2957  4 Ru 2.52-2.76

---

Material: SnGe2Br6
Method: DFT, PBE-GGA
State: optimized geometry

Properties
ΔE_f (raw) (eV/f.u.): -5.5

abc: 7.2319 9.9901 9.9901
angles: 77.44 86.93 86.93
With the nearest neighbours (Å) after each atom.
Element x y z (fractional)
Sn  0.2500  0.0924  0.9076  4 Br 2.83-3.01
Sn  0.7500  0.9076  0.0924  4 Br 2.83-3.01
Ge  0.4683  0.6523  0.8304  3 Br 2.55-2.82
Ge  0.0317  0.1696  0.3477  3 Br 2.55-2.82
Ge  0.5317  0.3477  0.1696  3 Br 2.55-2.82
Ge  0.9683  0.8304  0.6523  3 Br 2.55-2.82
Br  0.7634  0.5904  0.7023  2 Ge 2.55-2.82
Br  0.7366  0.2977  0.4096  2 Ge 2.55-2.82
Br  0.2366  0.4096  0.2977  2 Ge 2.55-2.82
Br  0.2634  0.7023  0.5904  2 Ge 2.55-2.82
Br  0.8544  0.9025  0.4040  1 Ge 2.59
Br  0.6456  0.5960  0.0975  1 Ge 2.59
Br  0.1456  0.0975  0.5960  1 Ge 2.59
Br  0.3544  0.4040  0.9025  1 Ge 2.59
Br  0.1118  0.8251  0.9645  2 Sn 2.83-3.01
Br  0.3882  0.0355  0.1749  2 Sn 2.83-3.01
Br  0.8882  0.1749  0.0355  2 Sn 2.83-3.01
Br  0.6118  0.9645  0.8251  2 Sn 2.83-3.01